[1]
## NaAlZnPb (GGA-PBE)

Data for NaAlZnPb after structural relaxation.

Structure (POSCAR):
```
NaAlZnPb
1.0
5.023 0.000 0.000
2.511 4.350 0.000
2.511 1.450 4.101
Pb Na Zn Al
1 1 1 1
Direct
0.250 0.250 0.250
0.000 0.000 0.000
0.750 0.750 0.750
0.500 0.500 0.500
```

Computed properties:
For the total energy, the calculation gives -2.41 eV/atom. The symmetry is F-43m (216). The energy of formation from the pure elements is 0.42 eV/f.u.

[2]
## NaAl6Pd3 (GGA-PBE)

Data for NaAl6Pd3 after structural relaxation.

Structure (POSCAR):
```
NaAl6Pd3
1.0
-2.485 1.693 3.041
-6.045 0.187 -5.043
-3.840 -9.109 1.934
Na Al Pd
2 12 6
Direct
0.750 0.064 0.722
0.250 0.936 0.278
0.750 0.418 0.573
0.250 0.582 0.427
0.750 0.870 0.010
0.250 0.130 0.990
0.750 0.464 0.086
0.250 0.536 0.914
0.750 0.697 0.263
0.250 0.303 0.737
0.750 0.117 0.410
0.250 0.883 0.590
0.750 0.699 0.759
0.250 0.301 0.241
0.750 0.379 0.852
0.250 0.621 0.148
0.750 0.755 0.499
0.250 0.245 0.501
0.750 0.147 0.142
0.250 0.853 0.858
```

Computed properties:
For the total energy, the calculation gives -4.43 eV/atom. The symmetry is P2_1/m (11). The energy of formation from the pure elements is -4.95 eV/f.u.

[3]
## NaAl2Pd (GGA-PBE)

Data for NaAl2Pd after structural relaxation.

Structure (POSCAR):
```
NaAl2Pd
1.0
4.390 0.000 0.000
2.195 3.802 0.000
2.195 1.267 5.455
Na Al Pd
1 2 1
Direct
0.496 0.496 0.512
0.022 0.022 0.935
0.308 0.308 0.075
0.674 0.674 0.978
```

Computed properties:
For the total energy, the calculation gives -3.83 eV/atom. The symmetry is R3m (160). The energy of formation from the pure elements is -1.32 eV/f.u.

[4]
## Na2AlPd2 (GGA-PBE)

Data for Na2AlPd2 after structural relaxation.

Structure (POSCAR):
```
Na2AlPd2
1.0
-4.900 -2.680 -3.053
-2.521 -1.745 5.578
-2.479 4.282 0.219
Na Al Pd
4 2 4
Direct
0.169 0.669 0.500
0.669 0.831 0.500
0.831 0.331 0.500
0.331 0.169 0.500
0.000 0.000 0.000
0.500 0.500 0.000
0.353 0.853 0.000
0.853 0.647 0.000
0.647 0.147 0.000
0.147 0.353 0.000
```

Computed properties:
For the total energy, the calculation gives -3.70 eV/atom. The symmetry is P4/mbm (127). The energy of formation from the pure elements is -1.74 eV/f.u. As for the energy above the lowest structure with this stoichiometry: 0.0 kJ/mol of atoms.

[5]
## NaAlPd2 (GGA-PBE)

Data for NaAlPd2 after structural relaxation.

Structure (POSCAR):
```
NaAlPd2
1.0
2.986 0.000 0.000
0.000 4.578 0.000
0.000 0.000 4.578
Na Al Pd
1 1 2
Direct
0.500 0.000 0.000
0.500 0.500 0.500
0.000 0.000 0.500
0.000 0.500 0.000
```

Computed properties:
For the total energy, the calculation gives -4.31 eV/atom. The symmetry is P4/mmm (123). The energy of formation from the pure elements is -1.79 eV/f.u.

[6]
## NaAlPd2 (GGA-PBE)

Data for NaAlPd2 after structural relaxation.

Structure (POSCAR):
```
NaAlPd2
1.0
7.119 0.000 0.000
0.000 7.119 0.000
3.559 3.559 2.891
Na Al Pd
2 2 4
Direct
0.500 0.500 0.000
0.250 0.750 0.500
0.000 0.000 0.000
0.750 0.250 0.500
0.671 0.125 0.250
0.079 0.625 0.250
0.375 0.329 0.750
0.875 0.921 0.750
```

Computed properties:
For the total energy, the calculation gives -4.09 eV/atom. The symmetry is I-42d (122). The energy of formation from the pure elements is -0.93 eV/f.u.

[7]
## NaAl2Pd (GGA-PBE)

Data for NaAl2Pd after structural relaxation.

Structure (POSCAR):
```
NaAl2Pd
1.0
-3.494 -1.269 2.280
-1.808 -3.893 -0.767
1.422 -3.923 4.166
Na Al Pd
1 2 1
Direct
0.500 0.500 0.500
0.305 0.305 0.084
0.695 0.695 0.916
0.000 0.000 0.000
```

Computed properties:
For the total energy, the calculation gives -3.82 eV/atom. The symmetry is R-3m (166). The energy of formation from the pure elements is -1.29 eV/f.u.

[8]
## NaAl2Pd3 (GGA-PBE)

Data for NaAl2Pd3 after structural relaxation.

Structure (POSCAR):
```
NaAl2Pd3
1.0
-1.047 2.482 2.803
-5.261 -2.305 0.076
4.112 -2.115 3.408
Na Al Pd
1 2 3
Direct
0.000 0.000 0.000
0.500 0.333 0.667
0.500 0.667 0.333
0.000 0.500 0.000
0.000 0.500 0.500
0.000 0.000 0.500
```

Computed properties:
For the total energy, the calculation gives -4.64 eV/atom. The symmetry is P6/mmm (191). The energy of formation from the pure elements is -3.44 eV/f.u.

[9]
## NaAl2Pd (GGA-PBE)

Data for NaAl2Pd after structural relaxation.

Structure (POSCAR):
```
NaAl2Pd
1.0
5.316 0.000 0.000
0.000 5.316 0.000
2.658 2.658 7.982
Na Al Pd
2 4 2
Direct
0.500 0.500 0.000
0.250 0.750 0.500
0.873 0.125 0.250
0.877 0.625 0.250
0.375 0.127 0.750
0.875 0.123 0.750
0.000 0.000 0.000
0.750 0.250 0.500
```

Computed properties:
For the total energy, the calculation gives -3.47 eV/atom. The symmetry is I-42d (122). The energy of formation from the pure elements is 0.10 eV/f.u.

[10]
## NaAl8Pd2 (GGA-PBE)

Data for NaAl8Pd2 after structural relaxation.

Structure (POSCAR):
```
NaAl8Pd2
1.0
4.765 -0.028 -0.042
-0.823 6.682 0.553
-0.823 -2.063 6.379
Na Al Pd
1 8 2
Direct
0.500 0.000 0.000
0.883 0.900 0.648
0.883 0.648 0.900
0.289 0.622 0.622
0.500 0.714 0.286
0.500 0.286 0.714
0.711 0.378 0.378
0.117 0.352 0.100
0.117 0.100 0.352
0.000 0.289 0.711
0.000 0.711 0.289
```

Computed properties:
For the total energy, the calculation gives -4.01 eV/atom. The symmetry is C2/m (12). The energy of formation from the pure elements is -2.47 eV/f.u.

[11]
## NaAlPd2 (GGA-PBE)

Data for NaAlPd2 after structural relaxation.

Structure (POSCAR):
```
NaAlPd2
1.0
2.963 0.000 0.000
0.000 2.963 0.000
0.000 0.000 7.677
Na Al Pd
1 1 2
Direct
0.500 0.500 0.500
0.500 0.500 0.000
0.000 0.000 0.801
0.000 0.000 0.199
```

Computed properties:
For the total energy, the calculation gives -4.46 eV/atom. The symmetry is P4/mmm (123). The energy of formation from the pure elements is -2.39 eV/f.u.

[12]
## NaAl9Pd2 (GGA-PBE)

Data for NaAl9Pd2 after structural relaxation.

Structure (POSCAR):
```
NaAl9Pd2
1.0
6.214 0.000 2.861
3.107 7.835 1.430
-0.170 0.000 8.547
Na Al Pd
2 18 4
Direct
0.500 0.000 0.000
0.250 0.500 0.500
0.750 0.500 0.500
0.000 0.000 0.000
0.999 0.925 0.683
0.608 0.075 0.317
0.675 0.183 0.575
0.432 0.817 0.425
0.751 0.817 0.575
0.142 0.183 0.425
0.075 0.925 0.317
0.318 0.075 0.683
0.751 0.575 0.817
0.142 0.425 0.183
0.075 0.317 0.925
0.318 0.683 0.075
0.999 0.683 0.925
0.608 0.317 0.075
0.675 0.575 0.183
0.432 0.425 0.817
0.875 0.250 0.750
0.875 0.750 0.250
0.875 0.250 0.250
0.375 0.750 0.750
```

Computed properties:
For the total energy, the calculation gives -4.07 eV/atom. The symmetry is I4_1/amd (141). The energy of formation from the pure elements is -3.45 eV/f.u.

[13]
## NaAl10Pd3 (GGA-PBE)

Data for NaAl10Pd3 after structural relaxation.

Structure (POSCAR):
```
NaAl10Pd3
1.0
-6.774 3.427 -4.907
-4.156 -5.132 -6.173
-8.476 -2.803 1.418
Na Al Pd
2 20 6
Direct
0.250 0.250 0.250
0.750 0.750 0.750
0.000 0.000 0.350
0.000 0.350 0.000
0.350 0.000 0.000
0.650 0.350 0.000
0.387 0.387 0.387
0.160 0.613 0.613
0.387 0.840 0.387
0.650 0.000 0.350
0.387 0.387 0.840
0.840 0.387 0.387
0.613 0.613 0.160
0.000 0.000 0.650
0.350 0.650 0.000
0.000 0.650 0.350
0.000 0.350 0.650
0.650 0.000 0.000
0.613 0.613 0.613
0.000 0.650 0.000
0.613 0.160 0.613
0.350 0.000 0.650
0.737 0.737 0.263
0.737 0.263 0.737
0.263 0.737 0.737
0.263 0.263 0.737
0.737 0.263 0.263
0.263 0.737 0.263
```

Computed properties:
For the total energy, the calculation gives -4.15 eV/atom. The symmetry is Fm-3m (225). The energy of formation from the pure elements is -3.79 eV/f.u.

[14]
## NaAlPd2 (GGA-PBE)

Data for NaAlPd2 after structural relaxation.

Structure (POSCAR):
```
NaAlPd2
1.0
-1.990 -1.802 -1.492
1.022 -2.386 -1.642
-0.945 -6.367 5.789
Na Al Pd
1 1 2
Direct
0.500 0.500 0.500
0.000 0.000 0.000
0.737 0.737 0.789
0.263 0.263 0.211
```

Computed properties:
For the total energy, the calculation gives -4.28 eV/atom. The symmetry is R-3m (166). The energy of formation from the pure elements is -1.66 eV/f.u.

[15]
## Na2AlPd2 (GGA-PBE)

Data for Na2AlPd2 after structural relaxation.

Structure (POSCAR):
```
Na2AlPd2
1.0
3.499 0.000 0.000
0.000 3.499 0.000
1.749 1.749 7.315
Na Al Pd
2 1 2
Direct
0.750 0.250 0.500
0.250 0.750 0.500
0.000 0.000 0.000
0.410 0.410 0.180
0.590 0.590 0.820
```

Computed properties:
For the total energy, the calculation gives -3.31 eV/atom. The symmetry is I4/mmm (139). The energy of formation from the pure elements is 0.24 eV/f.u. As for the energy above the lowest structure with this stoichiometry: 38.1 kJ/mol of atoms.

[16]
## NaAl2Pd (GGA-PBE)

Data for NaAl2Pd after structural relaxation.

Structure (POSCAR):
```
NaAl2Pd
1.0
-1.371 -2.249 1.398
1.620 -1.957 -1.561
5.908 0.117 5.982
Na Al Pd
1 2 1
Direct
0.500 0.500 0.500
0.000 0.000 0.806
0.000 0.000 0.194
0.500 0.500 0.000
```

Computed properties:
For the total energy, the calculation gives -3.80 eV/atom. The symmetry is P4/mmm (123). The energy of formation from the pure elements is -1.21 eV/f.u.

[17]
## NaAlPdPt (GGA-PBE)

Data for NaAlPdPt after structural relaxation.

Structure (POSCAR):
```
NaAlPdPt
1.0
4.438 0.000 0.000
2.219 3.844 0.000
2.219 1.281 3.624
Na Pd Pt Al
1 1 1 1
Direct
0.000 0.000 0.000
0.250 0.250 0.250
0.750 0.750 0.750
0.500 0.500 0.500
```

Computed properties:
For the total energy, the calculation gives -4.55 eV/atom. The symmetry is F-43m (216). The energy of formation from the pure elements is -1.92 eV/f.u. As for the energy above the lowest structure with this stoichiometry: 17.1 kJ/mol of atoms.

[18]
## NaAlPdPt (GGA-PBE)

Data for NaAlPdPt after structural relaxation.

Structure (POSCAR):
```
NaAlPdPt
1.0
-1.308 1.885 1.828
-2.454 -0.151 -1.601
-2.473 -5.935 4.351
Na Al Pd Pt
1 1 1 1
Direct
0.000 0.000 0.073
0.000 0.000 0.569
0.500 0.500 0.771
0.500 0.500 0.371
```

Computed properties:
For the total energy, the calculation gives -4.73 eV/atom. The symmetry is P4mm (99). The energy of formation from the pure elements is -2.63 eV/f.u. As for the energy above the lowest structure with this stoichiometry: 0.0 kJ/mol of atoms.

[19]
## NaAl2SnPd (GGA-PBE)

Data for NaAl2SnPd after structural relaxation.

Structure (POSCAR):
```
NaAl2SnPd
1.0
4.786 0.000 0.000
0.000 5.426 0.000
0.000 0.000 4.786
Na Sn Pd Al
1 1 1 2
Direct
0.500 0.500 0.500
0.000 0.500 0.000
0.000 0.000 0.000
0.000 0.000 0.500
0.500 0.000 0.000
```

Computed properties:
For the total energy, the calculation gives -3.64 eV/atom. The symmetry is P4/mmm (123). The energy of formation from the pure elements is -0.21 eV/f.u. As for the energy above the lowest structure with this stoichiometry: 0.0 kJ/mol of atoms.

[20]
## NaAl2SnPd (GGA-PBE)

Data for NaAl2SnPd after structural relaxation.

Structure (POSCAR):
```
NaAl2SnPd
1.0
-1.820 2.245 4.052
-4.581 0.647 -2.416
-1.542 -4.399 1.744
Na Sn Pd Al
1 1 1 2
Direct
0.000 0.000 0.000
0.000 0.500 0.000
0.500 0.500 0.500
0.000 0.000 0.500
0.500 0.000 0.000
```

Computed properties:
For the total energy, the calculation gives -2.51 eV/atom. The symmetry is P4/mmm (123). The energy of formation from the pure elements is 5.46 eV/f.u. As for the energy above the lowest structure with this stoichiometry: 109.5 kJ/mol of atoms.

[21]
## NaSrAlPd2 (GGA-PBE)

Data for NaSrAlPd2 after structural relaxation.

Structure (POSCAR):
```
NaSrAlPd2
1.0
4.905 0.000 0.000
0.000 5.241 0.000
0.000 0.000 4.905
Sr Al Pd Na
1 1 2 1
Direct
0.000 0.500 0.000
0.500 0.500 0.500
0.000 0.000 0.500
0.500 0.000 0.000
0.000 0.000 0.000
```

Computed properties:
For the total energy, the calculation gives -2.81 eV/atom. The symmetry is P4/mmm (123). The energy of formation from the pure elements is 3.07 eV/f.u.

[22]
## NaSr2AlPd (GGA-PBE)

Data for NaSr2AlPd after structural relaxation.

Structure (POSCAR):
```
NaSr2AlPd
1.0
5.995 0.000 0.000
0.000 5.995 0.000
0.000 0.000 4.886
Sr Al Pd Na
2 1 1 1
Direct
0.000 0.500 0.000
0.500 0.000 0.000
0.000 0.000 0.500
0.000 0.000 0.000
0.500 0.500 0.500
```

Computed properties:
For the total energy, the calculation gives -3.00 eV/atom. The symmetry is P4/mmm (123). The energy of formation from the pure elements is -1.38 eV/f.u.

[23]
## Na2TaAlPd (GGA-PBE)

Data for Na2TaAlPd after structural relaxation.

Structure (POSCAR):
```
Na2TaAlPd
1.0
5.006 0.000 0.000
0.000 5.055 0.000
0.000 0.000 5.006
Na Al Pd Ta
2 1 1 1
Direct
0.000 0.000 0.500
0.500 0.000 0.000
0.000 0.000 0.000
0.500 0.500 0.500
0.000 0.500 0.000
```

Computed properties:
For the total energy, the calculation gives -3.43 eV/atom. The symmetry is P4/mmm (123). The energy of formation from the pure elements is 6.29 eV/f.u.

[24]
## NaTiAlPd2 (GGA-PBE)

Data for NaTiAlPd2 after structural relaxation.

Structure (POSCAR):
```
NaTiAlPd2
1.0
4.726 0.000 0.000
0.000 5.099 0.000
0.000 0.000 4.726
Na Al Pd Ti
1 1 2 1
Direct
0.500 0.500 0.500
0.000 0.500 0.000
0.000 0.000 0.500
0.500 0.000 0.000
0.000 0.000 0.000
```

Computed properties:
For the total energy, the calculation gives -4.30 eV/atom. The symmetry is P4/mmm (123). The energy of formation from the pure elements is 1.83 eV/f.u.

[25]
## NaAl2PdW (GGA-PBE)

Data for NaAl2PdW after structural relaxation.

Structure (POSCAR):
```
NaAl2PdW
1.0
4.729 0.000 0.000
0.000 5.044 0.000
0.000 0.000 4.729
Na Pd W Al
1 1 1 2
Direct
0.500 0.500 0.500
0.000 0.000 0.000
0.000 0.500 0.000
0.000 0.000 0.500
0.500 0.000 0.000
```

Computed properties:
For the total energy, the calculation gives -4.56 eV/atom. The symmetry is P4/mmm (123). The energy of formation from the pure elements is 4.16 eV/f.u.